# 1
DFT (PBE) results for crystalline CsPdCl3 at its relaxed geometry.

a = 5.062 Å, b = 5.061 Å, c = 5.062 Å
α = 90.00°, β = 90.00°, γ = 90.00°
Atoms (fractional coordinates):
Pd: 0.500 0.512 0.502
Cs: 0.000 0.012 0.002
Cl: 0.500 0.012 0.502
Cl: 0.000 0.512 0.502
Cl: 0.500 0.512 0.002

* calculated total energy: -17.0 eV/cell
* formation energy (no corrections): -524 kJ/mol of formula units
* total magnetic moment: 0.00 μB per formula unit

***

# 2
DFT (PBE) results for crystalline Na3Zr2AgSe6 at its relaxed geometry.

a = 6.946 Å, b = 6.946 Å, c = 7.323 Å
α = 99.14°, β = 99.14°, γ = 120.04°
Atoms (fractional coordinates):
Na: 0.158 0.842 0.500
Na: 0.500 0.500 0.500
Ag: 0.000 0.000 0.000
Na: 0.842 0.158 0.500
Se: 0.569 0.924 0.775
Se: 0.076 0.431 0.225
Se: 0.924 0.569 0.775
Se: 0.281 0.281 0.778
Se: 0.431 0.076 0.225
Zr: 0.331 0.669 0.000
Se: 0.719 0.719 0.222
Zr: 0.669 0.331 0.000

* calculated total energy: -58.3 eV/cell
* formation energy (no corrections): -1305 kJ/mol of formula units
* total magnetic moment: 0.00 μB per formula unit

***

Q: Number 2 is which compound?
A: Na3Zr2AgSe6

***

Q: Number 1 is which compound?
A: CsPdCl3

***

Q: Look up the formation energy (no corrections) of the first one.
A: -524 kJ/mol of formula units

***

Q: Look up the calculated total energy of the first one.
A: -17.0 eV/cell